(1)
# BaTm3Pd, optimized geometry, DFT PBE
data_BaTm3Pd
_symmetry_space_group_name_H-M 'P m -3 m'
_symmetry_Int_Tables_number 221
_symmetry_space_group_name_Hall '-P 4 2 3'
_cell_length_a 5.5378
_cell_length_b 5.5378
_cell_length_c 5.5378
_cell_angle_alpha 90.00
_cell_angle_beta 90.00
_cell_angle_gamma 90.00
loop_
_atom_site_label
_atom_site_fract_x
_atom_site_fract_y
_atom_site_fract_z
Ba1 0.0000 0.0000 0.0000
Tm1 0.0000 0.5000 0.5000
Pd1 0.5000 0.5000 0.5000
# - E_form: -0.203 eV/atom

(2)
# Li7Mg2Pb3, optimized geometry, DFT PBE
data_Li7Mg2Pb3
_symmetry_space_group_name_H-M 'P 1 2/m 1'
_symmetry_Int_Tables_number 10
_cell_length_a 4.9935
_cell_length_b 3.6590
_cell_length_c 14.0836
_cell_angle_alpha 90.00
_cell_angle_beta 92.22
_cell_angle_gamma 90.00
loop_
_symmetry_equiv_pos_as_xyz
'x,y,z'
'-x,-y,-z'
'-x,y,-z'
'x,-y,z'
loop_
_atom_site_label
_atom_site_fract_x
_atom_site_fract_y
_atom_site_fract_z
Li1 0.0000 0.0000 0.0000
Li2 0.0051 0.5000 0.8404
Li3 0.2376 0.5000 0.4961
Li4 0.4918 0.0000 0.8482
Mg1 0.4951 0.5000 0.3119
Pb1 0.0051 0.0000 0.6679
Pb2 0.5000 0.5000 0.0000
# - E_form: -0.144 eV/atom

(3)
# InCo2Ni, optimized geometry, DFT PBE
data_InCo2Ni
_symmetry_space_group_name_H-M 'I 4/m m m'
_symmetry_Int_Tables_number 139
_symmetry_space_group_name_Hall '-I 4 2'
_cell_length_a 3.7245
_cell_length_b 3.7245
_cell_length_c 7.6051
_cell_angle_alpha 90.00
_cell_angle_beta 90.00
_cell_angle_gamma 90.00
loop_
_atom_site_label
_atom_site_fract_x
_atom_site_fract_y
_atom_site_fract_z
In1 0.0000 0.0000 0.0000
Co1 0.0000 0.5000 0.2500
Ni1 0.0000 0.0000 0.5000
# - E_form: 0.145 eV/atom

(4)
# Rb2CrRh, optimized geometry, DFT PBE
data_Rb2CrRh
_symmetry_space_group_name_H-M 'F m -3 m'
_symmetry_Int_Tables_number 225
_symmetry_space_group_name_Hall '-F 4 2 3'
_cell_length_a 8.0411
_cell_length_b 8.0411
_cell_length_c 8.0411
_cell_angle_alpha 90.00
_cell_angle_beta 90.00
_cell_angle_gamma 90.00
loop_
_atom_site_label
_atom_site_fract_x
_atom_site_fract_y
_atom_site_fract_z
Rb1 0.2500 0.2500 0.2500
Cr1 0.0000 0.0000 0.0000
Rh1 0.0000 0.0000 0.5000
# - E_form: 1.293 eV/atom

(5)
# NiSbW2, optimized geometry, DFT PBE
data_NiSbW2
_symmetry_space_group_name_H-M 'I m m 2'
_symmetry_Int_Tables_number 44
_cell_length_a 3.4172
_cell_length_b 4.4747
_cell_length_c 8.3059
_cell_angle_alpha 90.00
_cell_angle_beta 90.00
_cell_angle_gamma 90.00
loop_
_symmetry_equiv_pos_as_xyz
'x,y,z'
'-x,-y,z'
'-x,y,z'
'x,-y,z'
'x+1/2,y+1/2,z+1/2'
'-x+1/2,-y+1/2,z+1/2'
'-x+1/2,y+1/2,z+1/2'
'x+1/2,-y+1/2,z+1/2'
loop_
_atom_site_label
_atom_site_fract_x
_atom_site_fract_y
_atom_site_fract_z
Ni1 0.0000 0.0000 0.0000
Sb1 0.0000 0.5000 0.7244
W1 0.0000 0.0000 0.4910
W2 0.0000 0.5000 0.2474
# - Formation energy without anion corrections: 0.385 eV/atom

(6)
# Ba4CuAs, optimized geometry, DFT PBE
data_Ba4CuAs
_symmetry_space_group_name_H-M 'F -4 3 m'
_symmetry_Int_Tables_number 216
_symmetry_space_group_name_Hall 'F -4 2 3'
_cell_length_a 9.9517
_cell_length_b 9.9517
_cell_length_c 9.9517
_cell_angle_alpha 90.00
_cell_angle_beta 90.00
_cell_angle_gamma 90.00
loop_
_atom_site_label
_atom_site_fract_x
_atom_site_fract_y
_atom_site_fract_z
Ba1 0.1238 0.1238 0.3762
Cu1 0.0000 0.0000 0.0000
As1 0.2500 0.2500 0.7500
# - E_form: 0.498 eV/atom

(7)
# OsRu2Cl, optimized geometry, DFT PBE
data_OsRu2Cl
_symmetry_space_group_name_H-M 'C 1 2/m 1'
_symmetry_Int_Tables_number 12
_cell_length_a 7.5337
_cell_length_b 2.7975
_cell_length_c 7.7617
_cell_angle_alpha 90.00
_cell_angle_beta 117.09
_cell_angle_gamma 90.00
loop_
_symmetry_equiv_pos_as_xyz
'x,y,z'
'-x,-y,-z'
'-x,y,-z'
'x,-y,z'
'x+1/2,y+1/2,z'
'-x+1/2,-y+1/2,-z'
'-x+1/2,y+1/2,-z'
'x+1/2,-y+1/2,z'
loop_
_atom_site_label
_atom_site_fract_x
_atom_site_fract_y
_atom_site_fract_z
Os1 0.0000 0.0000 0.0000
Ru1 0.1728 0.0000 0.8054
Cl1 0.0000 0.5000 0.5000
# - Formation energy without anion corrections: 0.615 eV/atom

(8)
# Pu2ThAl, optimized geometry, DFT PBE
data_Pu2ThAl
_symmetry_space_group_name_H-M 'F m -3 m'
_symmetry_Int_Tables_number 225
_symmetry_space_group_name_Hall '-F 4 2 3'
_cell_length_a 7.3522
_cell_length_b 7.3522
_cell_length_c 7.3522
_cell_angle_alpha 90.00
_cell_angle_beta 90.00
_cell_angle_gamma 90.00
loop_
_atom_site_label
_atom_site_fract_x
_atom_site_fract_y
_atom_site_fract_z
Pu1 0.2500 0.2500 0.2500
Th1 0.0000 0.0000 0.0000
Al1 0.0000 0.0000 0.5000
# - E_form: 0.107 eV/atom

(9)
This record from Alexandria via LeMat-Bulk describes crystalline Zr2In2H at its relaxed geometry. The functional is PBE.

Structure (CIF):
```
data_Zr2In2H
_symmetry_space_group_name_H-M 'C m c 21'
_symmetry_Int_Tables_number 36
_cell_length_a 3.1510
_cell_length_b 10.2889
_cell_length_c 11.9745
_cell_angle_alpha 90.00
_cell_angle_beta 90.00
_cell_angle_gamma 90.00
loop_
_symmetry_equiv_pos_as_xyz
'x,y,z'
'-x,-y,z+1/2'
'-x,y,z'
'x,-y,z+1/2'
'x+1/2,y+1/2,z'
'-x+1/2,-y+1/2,z+1/2'
'-x+1/2,y+1/2,z'
'x+1/2,-y+1/2,z+1/2'
loop_
_atom_site_label
_atom_site_fract_x
_atom_site_fract_y
_atom_site_fract_z
Zr1 0.0000 0.0115 0.0000
Zr2 0.0000 0.2721 0.1209
In1 0.0000 0.0099 0.7474
In2 0.0000 0.2859 0.8638
H1 0.0000 0.3578 0.5605
```

(10)
# CaMg2TeP, optimized geometry, DFT PBE
data_CaMg2TeP
_symmetry_space_group_name_H-M 'P 4/m m m'
_symmetry_Int_Tables_number 123
_symmetry_space_group_name_Hall '-P 4 2'
_cell_length_a 4.8831
_cell_length_b 4.8831
_cell_length_c 5.6186
_cell_angle_alpha 90.00
_cell_angle_beta 90.00
_cell_angle_gamma 90.00
loop_
_atom_site_label
_atom_site_fract_x
_atom_site_fract_y
_atom_site_fract_z
Ca1 0.0000 0.0000 0.0000
Mg1 0.0000 0.5000 0.5000
Te1 0.5000 0.5000 0.0000
P1 0.0000 0.0000 0.5000
# - Formation energy without anion corrections: -0.660 eV/atom

(11)
# BeGeTe2Os, optimized geometry, DFT PBE
data_BeGeTe2Os
_symmetry_space_group_name_H-M 'P 4/m m m'
_symmetry_Int_Tables_number 123
_symmetry_space_group_name_Hall '-P 4 2'
_cell_length_a 5.3555
_cell_length_b 5.3555
_cell_length_c 4.6089
_cell_angle_alpha 90.00
_cell_angle_beta 90.00
_cell_angle_gamma 90.00
loop_
_atom_site_label
_atom_site_fract_x
_atom_site_fract_y
_atom_site_fract_z
Be1 0.0000 0.0000 0.0000
Ge1 0.5000 0.5000 0.5000
Te1 0.0000 0.5000 0.5000
Os1 0.5000 0.5000 0.0000
# - Formation energy without anion corrections: 1.629 eV/atom

(12)
# Sr3CeCd4, optimized geometry, DFT PBE
data_Sr3CeCd4
_symmetry_space_group_name_H-M 'P 4/m m m'
_symmetry_Int_Tables_number 123
_symmetry_space_group_name_Hall '-P 4 2'
_cell_length_a 3.9593
_cell_length_b 3.9593
_cell_length_c 16.2616
_cell_angle_alpha 90.00
_cell_angle_beta 90.00
_cell_angle_gamma 90.00
loop_
_atom_site_label
_atom_site_fract_x
_atom_site_fract_y
_atom_site_fract_z
Sr1 0.0000 0.0000 0.0000
Sr2 0.0000 0.0000 0.2563
Ce1 0.0000 0.0000 0.5000
Cd1 0.5000 0.5000 0.1278
Cd2 0.5000 0.5000 0.3880
# - E_form: -0.273 eV/atom

Number 1: total moment 0.0 μB/f.u., calculated total energy -4.309 eV per atom, V 169.83 Å³ per cell. Number 2: total moment 0.0 μB/f.u., calculated total energy -2.453 eV per atom, V 257.13 Å³ per cell. Number 3: total moment 3.1 μB/f.u., calculated total energy -5.538 eV per atom, V 105.49 Å³ per cell. Number 4: total moment 4.9 μB/f.u., calculated total energy -3.435 eV per atom, V 519.94 Å³ per cell. Number 5: total moment 0.0 μB/f.u., calculated total energy -8.568 eV per atom, V 127.01 Å³ per cell. Number 6: total moment 0.0 μB/f.u., calculated total energy -2.241 eV per atom, V 985.59 Å³ per cell. Number 7: total moment 0.0 μB/f.u., calculated total energy -7.292 eV per atom, V 145.63 Å³ per cell. Number 8: total moment 12.9 μB/f.u., calculated total energy -9.850 eV per atom, V 397.42 Å³ per cell. Number 9: total moment 0.0 μB/f.u., calculated total energy -5.309 eV per atom, V 388.22 Å³ per cell. Number 10: total moment 0.0 μB/f.u., calculated total energy -3.408 eV per atom, V 133.98 Å³ per cell. Number 11: total moment 0.2 μB/f.u., calculated total energy -3.542 eV per atom, V 132.19 Å³ per cell. Number 12: total moment 1.1 μB/f.u., calculated total energy -2.103 eV per atom, V 254.92 Å³ per cell.